Here is a relaxed TaCuOs2 crystal from Alexandria. Energies are from PBE.

abc: 9.2508 9.2508 9.2508
angles: 155.84 155.84 34.43
Fractional positions:
Ta  0.0000  0.0000  0.0000
Ta  0.7500  0.2500  0.5000
Cu  0.2500  0.7500  0.5000
Cu  0.5000  0.5000  0.0000
Os  0.1864  0.6250  0.0614
Os  0.3750  0.4364  0.5614
Os  0.5636  0.1250  0.9386
Os  0.8750  0.8136  0.4386

## Properties
- D(E_F): 7.06 states/eV per cell
- Symmetry: I-42d, No. 122
- Energy: -72.28 eV per cell